# Fe2RuWN

Crystalline Fe2RuWN at its relaxed geometry (PBE, Alexandria).

For the formation energy (no corrections), the calculation gives 0.02 eV per formula unit. The density of states at the Fermi level is 4.73 states/eV/cell. Its space group is P4/mmm, No. 123.

Cell: 3.820 3.820 4.058 Å, 90.00 90.00 90.00°
Sites, in units of the cell vectors:
1 Fe 0.000 0.500 0.000
2 Fe 0.500 0.000 0.000
3 Ru 0.000 0.000 0.500
4 W 0.500 0.500 0.500
5 N 0.500 0.500 0.000

---

# Be2Si

Crystalline Be2Si at its relaxed geometry (PBE, Alexandria).

As for the relative energy among the computed polymorphs: 40 meV per atom. For the formation energy (no corrections), the calculation gives 0.53 eV per formula unit. The density of states at the Fermi level is 1.13 states/eV/cell. Its space group is I-4m2, No. 119.

Cell: 3.667 3.667 5.037 Å, 90.00 90.00 90.00°
Sites, in units of the cell vectors:
1 Be 0.000 0.000 0.000
2 Be 0.000 0.500 0.250
3 Be 0.500 0.000 0.750
4 Be 0.500 0.500 0.500
5 Si 0.000 0.000 0.500
6 Si 0.500 0.500 0.000

---

# HoNpZn

Crystalline HoNpZn at its relaxed geometry (PBE, Alexandria).

The formation enthalpy at 0 K is 212 meV/atom. The density of states at the Fermi level is 22.02 states/eV/cell. Its space group is C2/m, No. 12.

Cell: 10.328 5.089 6.531 Å, 90.00 127.22 90.00°
Sites, in units of the cell vectors:
1 Ho 0.038 0.000 0.281
2 Ho 0.462 0.500 0.719
3 Ho 0.538 0.500 0.281
4 Ho 0.962 0.000 0.719
5 Np 0.131 0.500 0.707
6 Np 0.369 0.000 0.293
7 Np 0.631 0.000 0.707
8 Np 0.869 0.500 0.293
9 Zn 0.156 0.500 0.190
10 Zn 0.344 0.000 0.810
11 Zn 0.656 0.000 0.190
12 Zn 0.844 0.500 0.810

---

# PaH2I4

Crystalline PaH2I4 at its relaxed geometry (PBE, Alexandria).

The density of states at the Fermi level is 7.77 states/eV/cell. Its space group is C2/m, No. 12.

Cell: 15.807 4.658 8.001 Å, 90.00 119.83 90.00°
Sites, in units of the cell vectors:
1 Pa 0.000 0.000 0.000
2 Pa 0.500 0.500 0.000
3 H 0.144 0.000 0.203
4 H 0.356 0.500 0.797
5 H 0.644 0.500 0.203
6 H 0.856 0.000 0.797
7 I 0.084 0.000 0.426
8 I 0.133 0.500 0.010
9 I 0.367 0.000 0.990
10 I 0.416 0.500 0.574
11 I 0.584 0.500 0.426
12 I 0.633 0.000 0.010
13 I 0.867 0.500 0.990
14 I 0.916 0.000 0.574

---

# Tb2Pr5Ho6

Crystalline Tb2Pr5Ho6 at its relaxed geometry (PBE, Alexandria).

The formation enthalpy at 0 K is 94 meV/atom. The density of states at the Fermi level is 31.22 states/eV/cell. Its space group is Pbam, No. 55.

Cell: 11.698 20.651 3.616 Å, 90.00 90.00 90.00°
Sites, in units of the cell vectors:
1 Tb 0.171 0.211 0.000
2 Tb 0.329 0.711 0.000
3 Tb 0.671 0.289 0.000
4 Tb 0.829 0.789 0.000
5 Pr 0.000 0.500 0.500
6 Pr 0.083 0.773 0.500
7 Pr 0.198 0.050 0.500
8 Pr 0.302 0.550 0.500
9 Pr 0.417 0.273 0.500
10 Pr 0.500 0.000 0.500
11 Pr 0.583 0.727 0.500
12 Pr 0.698 0.450 0.500
13 Pr 0.802 0.950 0.500
14 Pr 0.917 0.227 0.500
15 Ho 0.062 0.919 0.000
16 Ho 0.080 0.632 0.000
17 Ho 0.176 0.362 0.500
18 Ho 0.324 0.862 0.500
19 Ho 0.420 0.132 0.000
20 Ho 0.438 0.419 0.000
21 Ho 0.562 0.581 0.000
22 Ho 0.580 0.868 0.000
23 Ho 0.676 0.138 0.500
24 Ho 0.824 0.638 0.500
25 Ho 0.920 0.368 0.000
26 Ho 0.938 0.081 0.000

---

# Pu2SbOs

Crystalline Pu2SbOs at its relaxed geometry (PBE, Alexandria).

For the formation energy (no corrections), the calculation gives -1.15 eV per formula unit. The density of states at the Fermi level is 9.96 states/eV/cell. Its space group is P4/mmm, No. 123.

Cell: 3.272 3.272 8.535 Å, 90.00 90.00 90.00°
Sites, in units of the cell vectors:
1 Pu 0.000 0.000 0.209
2 Pu 0.000 0.000 0.791
3 Sb 0.500 0.500 0.500
4 Os 0.500 0.500 0.000

---

Number 1: final energy -9.49 eV per atom. Number 2: final energy -4.12 eV per atom. Number 3: final energy -6.05 eV per atom. Number 4: final energy -3.56 eV per atom. Number 5: final energy -4.57 eV per atom. Number 6: final energy -11.29 eV per atom.